1.
Computed, not measured: crystalline Rb2TlSn7 at its relaxed geometry at the PBE level of DFT. Values from VASP.

Cell and atoms, written as Quantum ESPRESSO input:
```
&SYSTEM
  ibrav = 0, nat = 10, ntyp = 3
/
ATOMIC_SPECIES
Rb 85.47 Rb.upf
Tl 204.38 Tl.upf
Sn 118.71 Sn.upf
CELL_PARAMETERS angstrom
5.374 0.000 0.000
0.000 5.374 0.000
0.000 0.000 12.132
ATOMIC_POSITIONS angstrom
Rb 2.687 0.000 9.112
Rb 0.000 2.687 3.020
Tl 2.687 2.687 0.000
Sn 0.000 2.687 10.608
Sn 2.687 0.000 4.593
Sn 2.687 0.000 1.524
Sn 0.000 2.687 7.539
Sn 0.000 0.000 6.066
Sn 0.000 0.000 0.000
Sn 2.687 2.687 6.066
```

Calculated values
N(E_F) = 4.880 states/eV per cell
Formation energy = -119 meV per atom

---

2.
Computed, not measured: crystalline CoAs3Br at its relaxed geometry at the PBE level of DFT. Values from VASP.

Cell and atoms, written as Quantum ESPRESSO input:
```
&SYSTEM
  ibrav = 0, nat = 5, ntyp = 3
/
ATOMIC_SPECIES
As 74.92 As.upf
Co 58.93 Co.upf
Br 79.90 Br.upf
CELL_PARAMETERS angstrom
5.024 0.000 0.000
0.000 5.024 0.000
0.000 0.000 5.024
ATOMIC_POSITIONS angstrom
As 0.000 2.512 0.000
As 0.000 0.000 2.512
As 2.512 0.000 0.000
Co 2.512 2.512 2.512
Br 0.000 0.000 0.000
```

Calculated values
N(E_F) = 4.911 states/eV per cell
Formation energy from raw total energies = 8.26 eV per formula unit